Computed, not measured: Tb5Pr2Y6 after structural relaxation at the PBE level of DFT.

Calculated values
DFT formation energy ... 0.10 eV/atom
Magnetization ... 0.000 Bohr magnetons per cell

a = 11.7994 Å, b = 20.4029 Å, c = 3.6022 Å
α = 90.00°, β = 90.00°, γ = 90.00°
Last column: nearest neighbours and their distance in Å.
Fractional coordinates of all 26 atoms:
Tb1 0.0000 0.0000 0.0000  6 Y 3.35-3.40, 4 Tb 3.60-3.67
Tb2 0.0929 0.2772 0.0000  5 Y 3.32-3.48, 4 Pr 3.56-3.59, 2 Tb 3.60
Tb3 0.2009 0.5499 0.0000  7 Y 3.58-3.88, 3 Tb 3.60-3.67, 2 Pr 3.85
Tb4 0.2991 0.0499 0.0000  7 Y 3.58-3.88, 3 Tb 3.60-3.67, 2 Pr 3.85
Tb5 0.4071 0.7772 0.0000  5 Y 3.32-3.48, 4 Pr 3.56-3.59, 2 Tb 3.60
Tb6 0.5000 0.5000 0.0000  6 Y 3.35-3.40, 4 Tb 3.60-3.67
Tb7 0.5929 0.2228 0.0000  5 Y 3.32-3.48, 4 Pr 3.56-3.59, 2 Tb 3.60
Tb8 0.7009 0.9501 0.0000  7 Y 3.58-3.88, 3 Tb 3.60-3.67, 2 Pr 3.85
Tb9 0.7991 0.4501 0.0000  7 Y 3.58-3.88, 3 Tb 3.60-3.67, 2 Pr 3.85
Tb10 0.9071 0.7228 0.0000  5 Y 3.32-3.48, 4 Pr 3.56-3.59, 2 Tb 3.60
Pr1 0.1669 0.7154 0.5000  3 Y 3.42-3.69, 4 Tb 3.56-3.59, 2 Pr 3.60
Pr2 0.3331 0.2154 0.5000  3 Y 3.42-3.69, 4 Tb 3.56-3.59, 2 Pr 3.60
Pr3 0.6669 0.7846 0.5000  3 Y 3.42-3.69, 4 Tb 3.56-3.59, 2 Pr 3.60
Pr4 0.8331 0.2846 0.5000  3 Y 3.42-3.69, 4 Tb 3.56-3.59, 2 Pr 3.60
Y1 0.0574 0.4216 0.5000  5 Y 3.47-3.73, 6 Tb 3.48-3.60, 1 Pr 3.85
Y2 0.0802 0.1336 0.5000  6 Tb 3.40-3.58, 1 Pr 3.42, 4 Y 3.55-3.60
Y3 0.1791 0.8729 0.0000  2 Tb 3.32-3.35, 4 Y 3.55-3.60, 2 Pr 3.69
Y4 0.3209 0.3729 0.0000  2 Tb 3.32-3.35, 4 Y 3.55-3.60, 2 Pr 3.69
Y5 0.4198 0.6336 0.5000  6 Tb 3.40-3.58, 1 Pr 3.42, 4 Y 3.55-3.60
Y6 0.4426 0.9216 0.5000  5 Y 3.47-3.73, 6 Tb 3.48-3.60, 1 Pr 3.85
Y7 0.5574 0.0784 0.5000  5 Y 3.47-3.73, 6 Tb 3.48-3.60, 1 Pr 3.85
Y8 0.5802 0.3664 0.5000  6 Tb 3.40-3.58, 1 Pr 3.42, 4 Y 3.55-3.60
Y9 0.6791 0.6271 0.0000  2 Tb 3.32-3.35, 4 Y 3.55-3.60, 2 Pr 3.69
Y10 0.8209 0.1271 0.0000  2 Tb 3.32-3.35, 4 Y 3.55-3.60, 2 Pr 3.69
Y11 0.9198 0.8664 0.5000  6 Tb 3.40-3.58, 1 Pr 3.42, 4 Y 3.55-3.60
Y12 0.9426 0.5784 0.5000  5 Y 3.47-3.73, 6 Tb 3.48-3.60, 1 Pr 3.85

---

Computed, not measured: Tb2Pr5Y5 after structural relaxation at the PBE level of DFT.

Calculated values
ΔE to the lowest computed polymorph ... 7.8 kJ per mole of atoms
DFT formation energy ... 0.10 eV/atom
Magnetization ... 0.000 Bohr magnetons per cell

a = 8.8280 Å, b = 8.8280 Å, c = 9.7596 Å
α = 118.85°, β = 118.85°, γ = 38.77°
Last column: nearest neighbours and their distance in Å.
Fractional coordinates of all 12 atoms:
Tb1 0.1783 0.1783 0.3588  4 Y 3.46-3.70, 6 Pr 3.59-3.86
Tb2 0.8217 0.8217 0.6412  4 Y 3.46-3.70, 6 Pr 3.59-3.86
Pr1 0.0000 0.0000 0.5000  8 Y 3.59-4.00, 4 Pr 3.61-3.82, 2 Tb 3.86
Pr2 0.0871 0.0871 0.9228  5 Y 3.52-3.69, 3 Pr 3.61-3.89, 2 Tb 3.72-3.83
Pr3 0.2645 0.2645 0.7859  4 Y 3.37-3.63, 3 Tb 3.59-3.65
Pr4 0.7355 0.7355 0.2141  4 Y 3.37-3.63, 3 Tb 3.59-3.65
Pr5 0.9129 0.9129 0.0772  5 Y 3.52-3.69, 3 Pr 3.61-3.89, 2 Tb 3.72-3.83
Y1 0.3416 0.3416 0.2073  2 Y 3.38-3.47, 6 Pr 3.44-3.69, 1 Tb 3.70
Y2 0.4227 0.4227 0.6131  3 Y 3.31-3.47, 3 Tb 3.46-3.52, 2 Pr 3.59
Y3 0.5000 0.5000 0.0000  2 Y 3.31, 6 Pr 3.37-3.52
Y4 0.5773 0.5773 0.3869  3 Y 3.31-3.47, 3 Tb 3.46-3.52, 2 Pr 3.59
Y5 0.6584 0.6584 0.7927  2 Y 3.38-3.47, 6 Pr 3.44-3.69, 1 Tb 3.70

---

Computed, not measured: Tb6Pr4Y after structural relaxation at the PBE level of DFT.

Calculated values
ΔE to the lowest computed polymorph ... 0.0 kJ per mole of atoms
DFT formation energy ... 0.29 eV/atom
Magnetization ... 0.000 Bohr magnetons per cell

a = 9.7777 Å, b = 9.7777 Å, c = 9.7777 Å
α = 139.77°, β = 139.77°, γ = 58.21°
Last column: nearest neighbours and their distance in Å.
Fractional coordinates of all 11 atoms:
Tb1 0.0000 0.5000 0.5000  4 Tb 3.25, 2 Y 3.36
Tb2 0.2007 0.2007 0.6467  3 Tb 3.25-3.36, 3 Pr 3.43-3.51
Tb3 0.4460 0.7993 0.0000  3 Tb 3.25-3.36, 3 Pr 3.43-3.51
Tb4 0.5000 0.0000 0.5000  4 Tb 3.25, 2 Y 3.36
Tb5 0.5540 0.5540 0.3533  3 Tb 3.25-3.36, 3 Pr 3.43-3.51
Tb6 0.7993 0.4460 0.0000  3 Tb 3.25-3.36, 3 Pr 3.43-3.51
Pr1 0.0136 0.6329 0.0000  5 Tb 3.43-3.69, 1 Y 3.52, 1 Pr 3.62
Pr2 0.3671 0.3671 0.3807  5 Tb 3.43-3.69, 1 Y 3.52, 1 Pr 3.62
Pr3 0.6329 0.0136 0.0000  5 Tb 3.43-3.69, 1 Y 3.52, 1 Pr 3.62
Pr4 0.9864 0.9864 0.6193  5 Tb 3.43-3.69, 1 Y 3.52, 1 Pr 3.62
Y1 0.0000 0.0000 0.0000  8 Tb 3.36-3.72, 4 Pr 3.52

---

Q: Look up the magnetization of the first one.
A: 0.000 Bohr magnetons per cell

---

Q: What is the formula in the first record?
A: Tb5Pr2Y6

---

Q: Which value of magnetization does entry 3 give?
A: 0.000 Bohr magnetons per cell